Compound: LaZr2Hg
Source: Alexandria
Functional: PBE-GGA
Structure: relaxed

Unit cell a=5.220 b=5.220 c=5.220 alpha=60.00 beta=60.00 gamma=60.00
Fractional coordinates of all 4 atoms:
La1 0.000 0.000 0.000
Zr1 0.250 0.250 0.250
Zr2 0.500 0.500 0.500
Hg1 0.750 0.750 0.750



Compound: LaZrHg2
Source: Alexandria
Functional: PBE-GGA
Structure: relaxed

Unit cell a=5.264 b=5.264 c=5.264 alpha=60.00 beta=60.00 gamma=60.00
Fractional coordinates of all 4 atoms:
La1 0.000 0.000 0.000
Zr1 0.250 0.250 0.250
Hg1 0.500 0.500 0.500
Hg2 0.750 0.750 0.750



Compound: LaZrHg2
Source: Alexandria
Functional: PBE-GGA
Structure: relaxed

Unit cell a=3.370 b=5.349 c=5.607 alpha=90.00 beta=90.07 gamma=90.00
Fractional coordinates of all 4 atoms:
La1 0.000 0.000 0.000
Zr1 0.997 0.500 0.422
Hg1 0.499 0.500 0.887
Hg2 0.500 0.000 0.492



Compound: LaZrHg2
Source: Alexandria
Functional: PBE-GGA
Structure: relaxed

Unit cell a=5.560 b=5.560 c=3.352 alpha=90.00 beta=90.00 gamma=106.02
Fractional coordinates of all 4 atoms:
La1 0.000 0.000 0.000
Zr1 0.500 0.500 0.000
Hg1 0.000 0.500 0.500
Hg2 0.500 0.000 0.500



Compound: LaZr2Hg
Source: Alexandria
Functional: PBE-GGA
Structure: relaxed

Unit cell a=3.391 b=3.391 c=8.689 alpha=90.00 beta=90.00 gamma=90.00
Fractional coordinates of all 4 atoms:
La1 0.000 0.000 0.000
Zr1 0.500 0.500 0.279
Zr2 0.500 0.500 0.721
Hg1 0.000 0.000 0.500



Compound: LaZrHg4
Source: Alexandria
Functional: PBE-GGA
Structure: relaxed

Unit cell a=5.942 b=5.942 c=5.942 alpha=60.00 beta=60.00 gamma=60.00
Fractional coordinates of all 6 atoms:
La1 0.000 0.000 0.000
Zr1 0.750 0.750 0.750
Hg1 0.375 0.375 0.375
Hg2 0.375 0.375 0.874
Hg3 0.375 0.874 0.375
Hg4 0.874 0.375 0.375



Compound: LaZr2Hg2
Source: Alexandria
Functional: PBE-GGA
Structure: relaxed

Unit cell a=8.780 b=8.780 c=3.178 alpha=90.00 beta=90.00 gamma=90.00
Fractional coordinates of all 10 atoms:
La1 0.000 0.000 0.000
La2 0.500 0.500 0.000
Zr1 0.121 0.379 0.000
Zr2 0.379 0.879 0.000
Zr3 0.621 0.121 0.000
Zr4 0.879 0.621 0.000
Hg1 0.175 0.675 0.500
Hg2 0.325 0.175 0.500
Hg3 0.675 0.825 0.500
Hg4 0.825 0.325 0.500



Compound: Li5Hg
Source: Alexandria
Functional: PBE-GGA
Structure: relaxed

Unit cell a=6.442 b=6.442 c=4.403 alpha=90.00 beta=90.00 gamma=142.97
Fractional coordinates of all 6 atoms:
Li1 0.000 0.000 0.000
Li2 0.160 0.840 0.500
Li3 0.341 0.659 0.000
Li4 0.659 0.341 0.000
Li5 0.840 0.160 0.500
Hg1 0.500 0.500 0.500



Compound: LiHg
Source: Alexandria
Functional: PBE-GGA
Structure: relaxed

Unit cell a=7.777 b=7.777 c=4.941 alpha=90.00 beta=90.00 gamma=120.00
Fractional coordinates of all 12 atoms:
Li1 0.059 0.795 0.250
Li2 0.205 0.264 0.250
Li3 0.264 0.059 0.750
Li4 0.736 0.941 0.250
Li5 0.795 0.736 0.750
Li6 0.941 0.205 0.750
Hg1 0.089 0.638 0.750
Hg2 0.362 0.451 0.750
Hg3 0.451 0.089 0.250
Hg4 0.549 0.911 0.750
Hg5 0.638 0.549 0.250
Hg6 0.911 0.362 0.250



Compound: LiHg
Source: Alexandria
Functional: PBE-GGA
Structure: relaxed

Unit cell a=3.259 b=3.259 c=9.458 alpha=90.00 beta=90.00 gamma=120.00
Fractional coordinates of all 4 atoms:
Li1 0.333 0.667 0.130
Li2 0.667 0.333 0.870
Hg1 0.333 0.667 0.647
Hg2 0.667 0.333 0.353



Compound: Li2Hg5
Source: Alexandria
Functional: PBE-GGA
Structure: relaxed

Unit cell a=7.675 b=7.675 c=7.960 alpha=96.00 beta=96.00 gamma=41.01
Fractional coordinates of all 14 atoms:
Li1 0.090 0.742 0.904
Li2 0.258 0.910 0.596
Li3 0.742 0.090 0.404
Li4 0.910 0.258 0.096
Hg1 0.073 0.364 0.822
Hg2 0.210 0.554 0.556
Hg3 0.250 0.750 0.250
Hg4 0.364 0.073 0.322
Hg5 0.446 0.790 0.944
Hg6 0.554 0.210 0.056
Hg7 0.636 0.927 0.678
Hg8 0.750 0.250 0.750
Hg9 0.790 0.446 0.444
Hg10 0.927 0.636 0.178



Compound: Li7Hg2
Source: Alexandria
Functional: PBE-GGA
Structure: relaxed

Unit cell a=4.629 b=4.629 c=8.551 alpha=90.00 beta=90.00 gamma=120.00
Fractional coordinates of all 9 atoms:
Li1 0.000 0.000 0.000
Li2 0.000 0.000 0.324
Li3 0.000 0.000 0.676
Li4 0.333 0.667 0.108
Li5 0.333 0.667 0.437
Li6 0.667 0.333 0.563
Li7 0.667 0.333 0.892
Hg1 0.333 0.667 0.771
Hg2 0.667 0.333 0.229



Compound: LiHg
Source: Alexandria
Functional: PBE-GGA
Structure: relaxed

Unit cell a=7.287 b=7.287 c=7.287 alpha=109.47 beta=109.47 gamma=109.47
Fractional coordinates of all 8 atoms:
Li1 0.000 0.000 0.755
Li2 0.000 0.755 0.000
Li3 0.245 0.245 0.245
Li4 0.755 0.000 0.000
Hg1 0.000 0.000 0.391
Hg2 0.000 0.391 0.000
Hg3 0.391 0.000 0.000
Hg4 0.609 0.609 0.609



Compound: LiHg
Source: Alexandria
Functional: PBE-GGA
Structure: relaxed

Unit cell a=3.968 b=3.968 c=3.968 alpha=133.18 beta=106.59 gamma=91.73
Fractional coordinates of all 2 atoms:
Li1 0.000 0.000 0.000
Hg1 0.500 0.500 0.000



Compound: LiHg
Source: Alexandria
Functional: PBE-GGA
Structure: relaxed

Unit cell a=7.676 b=7.676 c=7.676 alpha=92.40 beta=92.40 gamma=156.41
Fractional coordinates of all 8 atoms:
Li1 0.113 0.351 0.465
Li2 0.351 0.887 0.238
Li3 0.649 0.113 0.762
Li4 0.887 0.649 0.535
Hg1 0.088 0.821 0.909
Hg2 0.179 0.088 0.266
Hg3 0.821 0.912 0.734
Hg4 0.912 0.179 0.091



Compound: LiHg
Source: Alexandria
Functional: PBE-GGA
Structure: relaxed

Unit cell a=5.258 b=5.258 c=4.807 alpha=101.43 beta=101.43 gamma=36.29
Fractional coordinates of all 4 atoms:
Li1 0.124 0.124 0.329
Li2 0.876 0.876 0.671
Hg1 0.386 0.386 0.180
Hg2 0.614 0.614 0.820



Compound: LiHg
Source: Alexandria
Functional: PBE-GGA
Structure: relaxed

Unit cell a=4.691 b=4.691 c=4.691 alpha=41.59 beta=41.59 gamma=41.59
Fractional coordinates of all 2 atoms:
Li1 0.000 0.000 0.000
Hg1 0.500 0.500 0.500



Compound: LiHg3
Source: Alexandria
Functional: PBE-GGA
Structure: relaxed

Unit cell a=9.264 b=9.264 c=9.264 alpha=21.53 beta=21.53 gamma=21.53
Fractional coordinates of all 4 atoms:
Li1 0.000 0.000 0.000
Hg1 0.259 0.259 0.259
Hg2 0.500 0.500 0.500
Hg3 0.741 0.741 0.741



Compound: LiHg
Source: Alexandria
Functional: PBE-GGA
Structure: relaxed

Unit cell a=3.905 b=3.905 c=3.905 alpha=60.00 beta=60.00 gamma=60.00
Fractional coordinates of all 2 atoms:
Li1 0.000 0.000 0.000
Hg1 0.500 0.500 0.500



Compound: LiHg3
Source: Alexandria
Functional: PBE-GGA
Structure: relaxed

Unit cell a=6.288 b=6.288 c=5.229 alpha=90.00 beta=90.00 gamma=120.00
Fractional coordinates of all 8 atoms:
Li1 0.333 0.667 0.250
Li2 0.667 0.333 0.750
Hg1 0.170 0.340 0.750
Hg2 0.170 0.830 0.750
Hg3 0.340 0.170 0.250
Hg4 0.660 0.830 0.750
Hg5 0.830 0.170 0.250
Hg6 0.830 0.660 0.250



Compound: LiHg3
Source: Alexandria
Functional: PBE-GGA
Structure: relaxed

Unit cell a=8.092 b=8.092 c=3.549 alpha=90.00 beta=90.00 gamma=124.17
Fractional coordinates of all 8 atoms:
Li1 0.095 0.905 0.750
Li2 0.905 0.095 0.250
Hg1 0.205 0.387 0.750
Hg2 0.254 0.746 0.250
Hg3 0.387 0.205 0.250
Hg4 0.613 0.795 0.750
Hg5 0.746 0.254 0.750
Hg6 0.795 0.613 0.250



Compound: Li4Hg
Source: Alexandria
Functional: PBE-GGA
Structure: relaxed

Unit cell a=4.828 b=4.828 c=6.015 alpha=124.14 beta=124.14 gamma=54.25
Fractional coordinates of all 5 atoms:
Li1 0.105 0.105 0.314
Li2 0.295 0.295 0.898
Li3 0.705 0.705 0.102
Li4 0.895 0.895 0.686
Hg1 0.500 0.500 0.500



Compound: LiHg3
Source: Alexandria
Functional: PBE-GGA
Structure: relaxed

Unit cell a=5.149 b=6.381 c=5.503 alpha=90.00 beta=90.00 gamma=90.00
Fractional coordinates of all 8 atoms:
Li1 0.250 0.250 0.162
Li2 0.750 0.750 0.838
Hg1 0.250 0.003 0.671
Hg2 0.250 0.497 0.671
Hg3 0.250 0.750 0.152
Hg4 0.750 0.250 0.848
Hg5 0.750 0.503 0.329
Hg6 0.750 0.997 0.329



Compound: Li3Hg2
Source: Alexandria
Functional: PBE-GGA
Structure: relaxed

Unit cell a=5.043 b=5.043 c=6.582 alpha=129.22 beta=129.22 gamma=49.05
Fractional coordinates of all 5 atoms:
Li1 0.000 0.000 0.000
Li2 0.197 0.197 0.613
Li3 0.803 0.803 0.387
Hg1 0.420 0.420 0.206
Hg2 0.580 0.580 0.794



Compound: Li2Hg3
Source: Alexandria
Functional: PBE-GGA
Structure: relaxed

Unit cell a=14.065 b=5.014 c=14.755 alpha=72.29 beta=19.85 gamma=87.86
Fractional coordinates of all 10 atoms:
Li1 0.267 0.733 0.334
Li2 0.584 0.916 0.517
Li3 0.733 0.267 0.666
Li4 0.916 0.584 0.983
Hg1 0.031 0.977 0.661
Hg2 0.255 0.255 0.745
Hg3 0.505 0.505 0.995
Hg4 0.589 0.919 0.219
Hg5 0.919 0.589 0.273
Hg6 0.977 0.031 0.331



Compound: LiHg2
Source: Alexandria
Functional: PBE-GGA
Structure: relaxed

Unit cell a=7.125 b=7.125 c=5.147 alpha=90.00 beta=90.00 gamma=149.77
Fractional coordinates of all 6 atoms:
Li1 0.225 0.775 0.750
Li2 0.775 0.225 0.250
Hg1 0.125 0.875 0.250
Hg2 0.430 0.570 0.250
Hg3 0.570 0.430 0.750
Hg4 0.875 0.125 0.750



Number 1: density 8.62 g cm⁻³, energy of formation from the pure elements 0.059 eV per atom. Number 2: density 10.16 g cm⁻³, energy of formation from the pure elements 0.140 eV per atom. Number 3: density 10.37 g cm⁻³, energy of formation from the pure elements -0.194 eV per atom. Number 4: density 10.53 g cm⁻³, energy of formation from the pure elements -0.201 eV per atom. Number 5: density 8.67 g cm⁻³, energy of formation from the pure elements 0.009 eV per atom. Number 6: density 11.56 g cm⁻³, energy of formation from the pure elements -0.071 eV per atom. Number 7: density 9.80 g cm⁻³, energy of formation from the pure elements -0.105 eV per atom. Number 8: density 3.55 g cm⁻³, energy of formation from the pure elements -0.178 eV per atom. Number 9: density 7.99 g cm⁻³, energy of formation from the pure elements -0.218 eV per atom. Number 10: density 7.92 g cm⁻³, energy of formation from the pure elements -0.155 eV per atom. Number 11: density 11.05 g cm⁻³, energy of formation from the pure elements -0.203 eV per atom. Number 12: density 4.71 g cm⁻³, energy of formation from the pure elements -0.245 eV per atom. Number 13: density 4.63 g cm⁻³, energy of formation from the pure elements 0.099 eV per atom. Number 14: density 8.34 g cm⁻³, energy of formation from the pure elements -0.231 eV per atom. Number 15: density 7.78 g cm⁻³, energy of formation from the pure elements -0.190 eV per atom. Number 16: density 8.96 g cm⁻³, energy of formation from the pure elements -0.318 eV per atom. Number 17: density 8.38 g cm⁻³, energy of formation from the pure elements -0.244 eV per atom. Number 18: density 10.77 g cm⁻³, energy of formation from the pure elements -0.155 eV per atom. Number 19: density 8.18 g cm⁻³, energy of formation from the pure elements -0.213 eV per atom. Number 20: density 11.29 g cm⁻³, energy of formation from the pure elements -0.175 eV per atom. Number 21: density 10.51 g cm⁻³, energy of formation from the pure elements -0.170 eV per atom. Number 22: density 4.29 g cm⁻³, energy of formation from the pure elements -0.224 eV per atom. Number 23: density 11.18 g cm⁻³, energy of formation from the pure elements -0.179 eV per atom. Number 24: density 7.71 g cm⁻³, energy of formation from the pure elements -0.327 eV per atom. Number 25: density 9.50 g cm⁻³, energy of formation from the pure elements -0.220 eV per atom. Number 26: density 10.30 g cm⁻³, energy of formation from the pure elements -0.204 eV per atom.